Entry 1:
Material: Tb2Nd2Al3
Method: DFT, PBE
State: relaxed

abc: 14.509 14.509 3.598
angles: 90.00 90.00 165.67
Sites, in units of the cell vectors:
Tb  0.062  0.938  0.000
Tb  0.938  0.062  0.000
Nd  0.191  0.809  0.000
Nd  0.809  0.191  0.000
Al  0.374  0.626  0.500
Al  0.500  0.500  0.500
Al  0.626  0.374  0.500

Output
excess energy over the best structure of this formula in the dataset	5	meV per atom
E_form	-284.6	meV per atom
total magnetic moment	0.0	μB per cell
final energy	-4.57	eV per atom
D(E_F)	4.24	states/eV/cell



Entry 2:
Material: TbNdAlZn
Method: DFT, PBE
State: relaxed

abc: 5.184 5.184 5.184
angles: 60.00 60.00 60.00
Sites, in units of the cell vectors:
Tb  0.000  0.000  0.000
Nd  0.500  0.500  0.500
Al  0.750  0.750  0.750
Zn  0.250  0.250  0.250

Output
excess energy over the best structure of this formula in the dataset	8	meV per atom
E_form	-345.0	meV per atom
total magnetic moment	0.0	μB per cell
final energy	-3.95	eV per atom
D(E_F)	3.67	states/eV/cell



Entry 3:
Material: TbNdAl2Zn2
Method: DFT, PBE
State: relaxed

abc: 4.524 4.524 7.403
angles: 90.00 90.00 120.00
Sites, in units of the cell vectors:
Tb  0.000  0.000  0.000
Nd  0.000  0.000  0.500
Al  0.333  0.667  0.232
Al  0.667  0.333  0.768
Zn  0.333  0.667  0.775
Zn  0.667  0.333  0.225

Output
E_form	-446.1	meV per atom
total magnetic moment	0.0	μB per cell
final energy	-3.68	eV per atom
D(E_F)	3.63	states/eV/cell